An optimized crystal structure of Li7Mn2Co3O12, computed with PBE with a Hubbard U.

- DFT total energy: -5.71 eV/atom
- SG: C2/m, No. 12
- D(E_F): 0.23 states/eV per atom

Unit cell a=14.5472 b=14.5472 c=4.9748 alpha=80.37 beta=80.37 gamma=11.27
Positions (direct):
Li 0.0796 0.0796 0.0831
Li 0.2495 0.2495 0.2419
Li 0.4239 0.4239 0.4326
Li 0.7505 0.7505 0.7581
Li 0.9204 0.9204 0.9169
Li 0.5761 0.5761 0.5674
Li 0.0000 0.0000 0.5000
Mn 0.8338 0.8338 0.3380
Mn 0.1662 0.1662 0.6620
Co 0.3338 0.3338 0.8375
Co 0.5000 0.5000 0.0000
Co 0.6662 0.6662 0.1625
O 0.2034 0.2034 0.9640
O 0.3696 0.3696 0.1339
O 0.5376 0.5376 0.2624
O 0.8700 0.8700 0.6399
O 0.0370 0.0370 0.8109
O 0.7037 0.7037 0.4567
O 0.9630 0.9630 0.1891
O 0.1300 0.1300 0.3601
O 0.2963 0.2963 0.5433
O 0.6304 0.6304 0.8661
O 0.7966 0.7966 0.0360
O 0.4624 0.4624 0.7376